[1]
VASP calculation (PBE) on a geometry-optimized UTa4Se8 structure.

POSCAR file:
```
UTa4Se8
1.0
6.315 0.000 -3.407
-4.076 5.905 0.000
0.162 0.112 7.856
Se Ta U
8 4 1
direct
0.506 0.253 0.759
0.004 0.241 0.245
0.996 0.759 0.755
0.004 0.763 0.245
0.996 0.237 0.755
0.482 0.241 0.245
0.518 0.759 0.755
0.494 0.747 0.241
0.000 0.500 0.000
0.000 0.000 0.000
0.500 0.000 0.000
0.500 0.500 0.000
0.000 0.500 0.500
```

uncorrected energy	-96.2	eV per cell
symmetry	R-3m (166)
ΔE_f (raw)	-738	meV/atom
M_tot	2.406	μB per formula unit
ρ	8887	kg/m3

***

[2]
VASP calculation (PBE) on a geometry-optimized UTaSe6 structure.

POSCAR file:
```
UTaSe6
1.0
7.072 0.017 0.009
3.530 6.287 0.114
3.534 2.216 5.896
Se U Ta
6 1 1
direct
0.834 0.678 0.319
0.754 0.243 0.245
0.166 0.322 0.681
0.680 0.167 0.832
0.320 0.833 0.168
0.246 0.757 0.755
0.500 0.500 0.500
0.000 0.000 0.000
```

uncorrected energy	-48.2	eV per cell
symmetry	P-1 (2)
ΔE_f (raw)	-520	meV/atom
M_tot	0.000	μB per formula unit
ρ	5704	kg/m3

***

[3]
VASP calculation (PBE) on a geometry-optimized UTaSe4 structure.

POSCAR file:
```
UTaSe4
1.0
6.540 0.185 -0.290
-0.419 6.586 -1.064
0.119 -0.325 6.676
Se Ta U
8 2 2
direct
0.004 0.850 0.290
0.949 0.645 0.751
0.051 0.355 0.249
0.996 0.150 0.710
0.496 0.710 0.150
0.551 0.249 0.355
0.449 0.751 0.645
0.504 0.290 0.850
0.250 0.394 0.606
0.750 0.606 0.394
0.250 0.005 0.995
0.750 0.995 0.005
```

uncorrected energy	-82.3	eV per cell
symmetry	C2/c (15)
ΔE_f (raw)	-676	meV/atom
M_tot	2.539	μB per formula unit
ρ	8533	kg/m3

***

[4]
VASP calculation (PBE) on a geometry-optimized UTaSe4 structure.

POSCAR file:
```
UTaSe4
1.0
-4.296 2.397 -4.412
-3.040 -4.311 4.073
1.854 7.014 5.227
U Se Ta
2 8 2
direct
0.813 0.063 0.126
0.187 0.937 0.874
0.656 0.907 0.348
0.808 0.559 0.652
0.942 0.208 0.871
0.429 0.664 0.871
0.571 0.336 0.129
0.058 0.792 0.129
0.192 0.441 0.348
0.344 0.093 0.652
0.686 0.436 0.872
0.314 0.564 0.128
```

uncorrected energy	-83.7	eV per cell
symmetry	C2/c (15)
ΔE_f (raw)	-799	meV/atom
M_tot	2.554	μB per formula unit
ρ	7295	kg/m3

***

[5]
VASP calculation (PBE) on a geometry-optimized Ta3VSe8 structure.

POSCAR file:
```
Ta3VSe8
1.0
6.993 0.000 0.000
-3.496 4.973 -3.449
0.000 0.598 8.058
Se Ta V
8 3 1
direct
0.758 0.515 0.768
0.252 0.505 0.761
0.242 0.994 0.232
0.242 0.485 0.232
0.758 0.006 0.768
0.748 0.495 0.239
0.249 0.006 0.768
0.751 0.994 0.232
0.000 0.500 0.000
0.500 0.500 0.000
0.500 0.000 0.000
0.000 0.000 0.000
```

uncorrected energy	-81.9	eV per cell
symmetry	C2/m (12)
ΔE_f (raw)	-781	meV/atom
M_tot	2.369	μB per formula unit
ρ	6907	kg/m3

***

[6]
VASP calculation (PBE) on a geometry-optimized TaV2Se4 structure.

POSCAR file:
```
TaV2Se4
1.0
3.333 0.000 0.000
0.000 6.229 -0.156
-1.667 -3.188 6.335
Se V Ta
4 2 1
direct
0.109 0.762 0.217
0.891 0.238 0.783
0.357 0.689 0.714
0.643 0.311 0.286
0.255 0.181 0.510
0.745 0.819 0.490
0.000 0.000 0.000
```

uncorrected energy	-48.7	eV per cell
symmetry	C2/m (12)
ΔE_f (raw)	-662	meV/atom
M_tot	0.000	μB per formula unit
ρ	7654	kg/m3

***

[7]
VASP calculation (PBE) on a geometry-optimized TaV2Se structure.

POSCAR file:
```
TaV2Se
1.0
7.333 0.000 0.000
0.000 7.333 0.000
3.666 3.666 2.509
Se V Ta
2 4 2
direct
0.500 0.500 0.000
0.250 0.750 0.500
0.566 0.125 0.250
0.184 0.625 0.250
0.375 0.434 0.750
0.875 0.816 0.750
0.000 0.000 0.000
0.750 0.250 0.500
```

uncorrected energy	-63.9	eV per cell
symmetry	I-42d (122)
ΔE_f (raw)	407	meV/atom
M_tot	0.000	μB per formula unit
ρ	8906	kg/m3

***

[8]
VASP calculation (PBE) on a geometry-optimized TaVSe2 structure.

POSCAR file:
```
TaVSe2
1.0
5.855 0.000 0.000
0.000 5.855 0.000
2.928 2.928 5.608
Se Ta V
4 2 2
direct
0.618 0.125 0.250
0.375 0.382 0.750
0.875 0.868 0.750
0.132 0.625 0.250
0.000 0.000 0.000
0.750 0.250 0.500
0.250 0.750 0.500
0.500 0.500 0.000
```

uncorrected energy	-55.4	eV per cell
symmetry	I-42d (122)
ΔE_f (raw)	66	meV/atom
M_tot	4.065	μB per formula unit
ρ	6733	kg/m3

***

[9]
VASP calculation (PBE) on a geometry-optimized TaV2Se3 structure.

POSCAR file:
```
TaV2Se3
1.0
-2.093 -2.041 1.786
4.964 -0.504 5.241
-3.005 8.736 3.174
V Ta Se
4 2 6
direct
0.956 0.846 0.912
0.044 0.154 0.088
0.709 0.450 0.419
0.291 0.550 0.581
0.647 0.061 0.294
0.353 0.939 0.706
0.751 0.786 0.501
0.418 0.625 0.836
0.088 0.837 0.175
0.249 0.214 0.499
0.582 0.375 0.164
0.912 0.163 0.825
```

uncorrected energy	-86.8	eV per cell
symmetry	C2/m (12)
ΔE_f (raw)	-479	meV/atom
M_tot	0.696	μB per formula unit
ρ	7246	kg/m3

***

[10]
VASP calculation (PBE) on a geometry-optimized Ta4VSe8 structure.

POSCAR file:
```
Ta4VSe8
1.0
-3.930 -2.395 -6.380
2.251 -5.394 -5.265
-3.201 -7.071 -1.278
Se Ta V
8 4 1
direct
0.750 0.249 0.750
0.249 0.750 0.750
0.250 0.250 0.751
0.250 0.751 0.250
0.749 0.749 0.749
0.750 0.750 0.249
0.751 0.250 0.250
0.251 0.251 0.251
0.500 0.000 0.500
0.000 0.500 0.500
0.000 0.000 0.000
0.500 0.500 0.000
0.500 0.500 0.500
```

uncorrected energy	-92.6	eV per cell
symmetry	R-3m (166)
ΔE_f (raw)	-632	meV/atom
M_tot	2.872	μB per formula unit
ρ	8234	kg/m3

***

[11]
VASP calculation (PBE) on a geometry-optimized TaVSe3 structure.

POSCAR file:
```
TaVSe3
1.0
-4.586 0.071 -1.367
1.166 -2.299 -4.033
-0.716 -4.197 2.185
Ta Se V
1 3 1
direct
0.500 0.500 0.500
0.000 0.500 0.000
0.000 0.000 0.500
0.500 0.000 0.000
0.000 0.000 0.000
```

uncorrected energy	-28.9	eV per cell
symmetry	Pm-3m (221)
ΔE_f (raw)	515	meV/atom
M_tot	3.897	μB per formula unit
ρ	7100	kg/m3

***

[12]
VASP calculation (PBE) on a geometry-optimized Ta3VSe6 structure.

POSCAR file:
```
Ta3VSe6
1.0
6.030 0.000 0.000
-3.015 5.222 0.000
0.000 0.000 12.887
Se Ta V
12 6 2
direct
0.333 0.330 0.370
0.330 0.333 0.630
0.670 0.004 0.370
0.667 0.996 0.630
0.996 0.667 0.370
0.330 0.996 0.870
0.333 0.004 0.130
0.004 0.670 0.630
0.996 0.330 0.130
0.667 0.670 0.870
0.004 0.333 0.870
0.670 0.667 0.130
0.000 0.000 0.000
0.333 0.667 0.000
0.667 0.333 0.000
0.000 0.000 0.500
0.667 0.333 0.500
0.333 0.667 0.500
0.333 0.667 0.250
0.667 0.333 0.750
```

uncorrected energy	-147.8	eV per cell
symmetry	P6_322 (182)
ΔE_f (raw)	-830	meV/atom
M_tot	2.035	μB per formula unit
ρ	8736	kg/m3

***

[13]
VASP calculation (PBE) on a geometry-optimized TaV2Se6 structure.

POSCAR file:
```
TaV2Se6
1.0
-3.148 0.928 -1.600
-0.403 -6.224 1.350
-3.412 2.555 8.194
Se V Ta
6 2 1
direct
0.875 0.749 0.082
0.630 0.261 0.612
0.896 0.792 0.728
0.104 0.208 0.272
0.125 0.251 0.918
0.370 0.739 0.388
0.257 0.513 0.131
0.743 0.487 0.869
0.000 0.000 0.500
```

uncorrected energy	-55.6	eV per cell
symmetry	C2/m (12)
ΔE_f (raw)	-508	meV/atom
M_tot	0.000	μB per formula unit
ρ	6105	kg/m3

***

[14]
VASP calculation (PBE) on a geometry-optimized TaV4Se8 structure.

POSCAR file:
```
TaV4Se8
1.0
6.411 0.000 -3.459
-4.138 5.995 0.000
-0.244 -0.168 7.218
Ta Se V
1 8 4
direct
0.000 0.500 0.500
0.996 0.244 0.749
0.496 0.248 0.251
0.996 0.752 0.749
0.494 0.747 0.241
0.506 0.253 0.759
0.004 0.248 0.251
0.504 0.752 0.749
0.004 0.756 0.251
0.000 0.000 0.000
0.500 0.500 0.000
0.000 0.500 0.000
0.500 0.000 0.000
```

uncorrected energy	-83.9	eV per cell
symmetry	R-3m (166)
ΔE_f (raw)	-589	meV/atom
M_tot	6.981	μB per formula unit
ρ	6252	kg/m3

***

[15]
VASP calculation (PBE) on a geometry-optimized TaVSe2 structure.

POSCAR file:
```
TaVSe2
1.0
0.000 3.194 3.194
3.194 0.000 3.194
3.194 3.194 0.000
Se Ta V
2 1 1
direct
0.750 0.750 0.750
0.250 0.250 0.250
0.500 0.500 0.500
0.000 0.000 0.000
```

uncorrected energy	-28.8	eV per cell
symmetry	Fm-3m (225)
ΔE_f (raw)	-225	meV/atom
M_tot	2.099	μB per formula unit
ρ	9929	kg/m3

***

[16]
VASP calculation (PBE) on a geometry-optimized Ta3VSe6 structure.

POSCAR file:
```
Ta3VSe6
1.0
6.286 0.000 0.000
0.000 8.359 0.006
0.000 -1.860 8.150
Ta Se V
6 12 2
direct
0.886 0.729 0.000
0.414 0.402 0.598
0.914 0.598 0.402
0.386 0.271 0.000
0.886 0.000 0.271
0.386 0.000 0.729
0.249 0.399 0.299
0.225 0.118 0.498
0.168 0.770 0.230
0.598 0.960 0.040
0.725 0.882 0.502
0.749 0.299 0.399
0.098 0.040 0.960
0.668 0.230 0.770
0.225 0.502 0.882
0.249 0.701 0.601
0.749 0.601 0.701
0.725 0.498 0.118
0.586 0.772 0.228
0.086 0.228 0.772
```

uncorrected energy	-139.8	eV per cell
symmetry	Cmc2_1 (36)
ΔE_f (raw)	-430	meV/atom
M_tot	0.000	μB per formula unit
ρ	8277	kg/m3

***

[17]
VASP calculation (PBE) on a geometry-optimized TaV3Se structure.

POSCAR file:
```
TaV3Se
1.0
4.662 0.000 0.000
0.000 4.662 0.000
0.000 0.000 4.662
V Ta Se
3 1 1
direct
0.500 0.000 0.000
0.000 0.500 0.000
0.000 0.000 0.500
0.000 0.000 0.000
0.500 0.500 0.500
```

uncorrected energy	-35.3	eV per cell
symmetry	Pm-3m (221)
ΔE_f (raw)	1469	meV/atom
M_tot	0.000	μB per formula unit
ρ	6764	kg/m3

***

[18]
VASP calculation (PBE) on a geometry-optimized Ta2V2Se7 structure.

POSCAR file:
```
Ta2V2Se7
1.0
6.688 0.380 0.549
-0.379 6.647 -0.112
-0.379 -2.439 6.185
Ta Se V
2 7 2
direct
0.500 0.635 0.365
0.500 0.365 0.635
0.697 0.025 0.406
0.303 0.594 0.975
0.303 0.975 0.594
0.216 0.389 0.389
0.000 0.000 0.000
0.784 0.611 0.611
0.697 0.406 0.025
0.845 0.271 0.271
0.155 0.729 0.729
```

uncorrected energy	-71.5	eV per cell
symmetry	C2/m (12)
ΔE_f (raw)	-472	meV/atom
M_tot	0.000	μB per formula unit
ρ	6117	kg/m3

***

[19]
VASP calculation (PBE) on a geometry-optimized TaVSe2 structure.

POSCAR file:
```
TaVSe2
1.0
-8.292 -2.558 -1.319
-6.775 -5.168 -2.104
-7.431 -4.585 0.889
Se V Ta
2 1 1
direct
0.899 0.899 0.899
0.101 0.101 0.101
0.500 0.500 0.500
0.000 0.000 0.000
```

uncorrected energy	-28.6	eV per cell
symmetry	R-3m (166)
ΔE_f (raw)	-155	meV/atom
M_tot	0.295	μB per formula unit
ρ	8945	kg/m3

***

[20]
VASP calculation (PBE) on a geometry-optimized TaVSe3 structure.

POSCAR file:
```
TaVSe3
1.0
-5.017 0.016 -0.174
0.154 -1.975 -4.613
-0.083 -4.615 1.974
Se V Ta
3 1 1
direct
0.500 0.000 0.000
0.000 0.000 0.500
0.000 0.500 0.000
0.500 0.500 0.500
0.000 0.000 0.000
```

uncorrected energy	-30.2	eV per cell
symmetry	Pm-3m (221)
ΔE_f (raw)	238	meV/atom
M_tot	3.760	μB per formula unit
ρ	6153	kg/m3